Computed, not measured: a geometry-optimized CrHPd3 structure at the GGA-PBE level of DFT.

## Properties
The total energy comes out at -0.2090 Ha/atom.

Cell lengths 4.855, 4.916, 5.500 Å; angles 90.00, 90.00, 109.96 degrees
Fractional positions:
H  0.123  0.380  0.115
H  0.624  0.381  0.817
Cr  0.800  0.051  0.825
Cr  0.446  0.709  0.825
Pd  0.356  0.143  0.073
Pd  0.859  0.115  0.333
Pd  0.387  0.645  0.333
Pd  0.890  0.617  0.073
Pd  0.355  0.143  0.584
Pd  0.892  0.617  0.584

Computed, not measured: a geometry-optimized ErScN structure at the GGA-PBE level of DFT.

## Properties
The calculation puts the energy relative to the elements, uncorrected at -448 meV/atom.

Cell lengths 4.054, 4.054, 4.054 Å; angles 60.00, 60.00, 60.00 degrees
Fractional positions:
N  0.250  0.250  0.250
Sc  0.000  0.000  0.000
Er  0.500  0.500  0.500

Computed, not measured: a geometry-optimized Pr2SmDy2Ho structure at the GGA-PBE level of DFT.

## Properties
The value obtained for the energy relative to the elements is 258 meV/atom.

Cell lengths 3.408, 6.636, 18.170 Å; angles 90.00, 90.00, 90.00 degrees
Fractional positions:
Pr  0.500  0.728  0.686
Pr  0.500  0.272  0.314
Pr  0.000  0.228  0.814
Pr  0.000  0.772  0.186
Dy  0.000  0.726  0.855
Dy  0.500  0.774  0.355
Dy  0.000  0.274  0.145
Dy  0.500  0.226  0.645
Sm  0.000  0.000  0.500
Sm  0.500  0.500  0.000
Ho  0.000  0.000  0.000
Ho  0.500  0.500  0.500

Computed, not measured: a geometry-optimized LaEr2Cd structure at the GGA-PBE level of DFT.

## Properties
The value obtained for the energy relative to the elements is -75 meV/atom.

Cell lengths 3.593, 3.593, 11.047 Å; angles 80.64, 80.64, 60.00 degrees
Fractional positions:
Er  0.742  0.742  0.773
Er  0.258  0.258  0.227
La  0.500  0.500  0.500
Cd  0.000  0.000  0.000